Compound: TiMnTeO6
Source: the Alexandria database
Functional: PBE+U
Structure: optimized geometry

Summary:
Its space-group type is P-31c. The calculated volume comes out at 12.1 Å³/atom. Its total DFT energy (no corrections) is -7.195 eV/atom. Its crystal system is trigonal. Its density of states at the Fermi level is 0.0 states/eV/f.u. The calculation puts the density at 4.97 g cm⁻³.

Cell lengths 5.1706, 5.1706, 9.4285 Å; angles 90.00, 90.00, 120.00 degrees
With the nearest neighbours (Å) after each atom.
Sites, in units of the cell vectors:
Ti1 0.3333 0.6667 0.2500  6 O 1.99
Ti2 0.6667 0.3333 0.7500  6 O 1.99
Mn1 0.0000 0.0000 0.0000  6 O 2.27
Mn2 0.0000 0.0000 0.5000  6 O 2.27
Te1 0.3333 0.6667 0.7500  6 O 1.95
Te2 0.6667 0.3333 0.2500  6 O 1.95
O1 0.0047 0.3639 0.6369  1 Te 1.95, 1 Ti 1.99
O2 0.0047 0.6408 0.8631  1 Te 1.95, 1 Ti 1.99
O3 0.3592 0.3639 0.8631  1 Te 1.95, 1 Ti 1.99
O4 0.3592 0.9953 0.6369  1 Te 1.95, 1 Ti 1.99
O5 0.3639 0.0047 0.1369  1 Te 1.95, 1 Ti 1.99
O6 0.3639 0.3592 0.3631  1 Te 1.95, 1 Ti 1.99
O7 0.6361 0.6408 0.6369  1 Te 1.95, 1 Ti 1.99
O8 0.6361 0.9953 0.8631  1 Te 1.95, 1 Ti 1.99
O9 0.6408 0.0047 0.3631  1 Te 1.95, 1 Ti 1.99
O10 0.6408 0.6361 0.1369  1 Te 1.95, 1 Ti 1.99
O11 0.9953 0.3592 0.1369  1 Te 1.95, 1 Ti 1.99
O12 0.9953 0.6361 0.3631  1 Te 1.95, 1 Ti 1.99